No. 1
A geometry-optimized AcPrNd6Sm2 structure. Source: Alexandria via LeMat-Bulk, functional PBE.

```
AcPrNd6Sm2
1.0
-5.432 4.539 6.994
2.953 -6.492 5.736
5.324 7.315 -1.383
Sm Nd Pr Ac
4 12 2 2
direct
0.545 0.194 0.306
0.955 0.694 0.806
0.045 0.306 0.194
0.455 0.806 0.694
0.055 0.121 0.747
0.881 0.294 0.503
0.318 0.978 0.439
0.945 0.879 0.253
0.381 0.503 0.294
0.445 0.253 0.879
0.619 0.497 0.706
0.182 0.561 0.022
0.119 0.706 0.497
0.818 0.439 0.978
0.555 0.747 0.121
0.682 0.022 0.561
0.250 0.408 0.592
0.750 0.592 0.408
0.250 0.974 0.026
0.750 0.026 0.974
```

Output
size of the total moment = 0.00 μB per atom
uncorrected energy = -45.78 eV per formula unit

---

No. 2
A geometry-optimized Ac6Pr2NdSm3 structure. Source: Alexandria via LeMat-Bulk, functional PBE.

```
Ac6Pr2NdSm3
1.0
6.689 -0.004 0.007
-3.347 5.791 0.007
-1.129 -1.955 12.235
Ac Sm Pr Nd
6 3 2 1
direct
0.249 0.249 0.748
0.084 0.417 0.252
0.916 0.583 0.748
0.583 0.916 0.748
0.417 0.084 0.252
0.751 0.751 0.252
0.833 0.167 0.500
0.167 0.833 0.500
0.500 0.500 0.500
0.667 0.333 0.000
0.333 0.667 0.000
0.000 0.000 0.000
```

Output
size of the total moment = 0.00 μB per atom
uncorrected energy = -52.82 eV per formula unit

---

No. 3
A geometry-optimized AcPr2Nd4Sm structure. Source: Alexandria via LeMat-Bulk, functional PBE.

```
AcPr2Nd4Sm
1.0
9.646 -0.002 -1.744
-0.008 9.646 -1.744
-6.115 -6.119 8.571
Pr Nd Ac Sm
4 8 2 2
direct
0.000 0.000 0.500
0.500 0.000 0.500
0.500 0.000 0.000
0.500 0.500 0.000
0.686 0.701 0.941
0.314 0.299 0.059
0.738 0.233 0.986
0.799 0.814 0.559
0.267 0.762 0.514
0.733 0.238 0.486
0.201 0.186 0.441
0.262 0.767 0.014
0.000 0.500 0.000
0.000 0.500 0.500
0.500 0.500 0.500
0.000 0.000 0.000
```

Output
size of the total moment = 0.00 μB per atom
uncorrected energy = -34.53 eV per formula unit

---

In the order shown, the computed formation energy from the elements values come out to 115 26 365 meV per atom.